*i*
A plane-wave DFT calculation with PBE was carried out for a relaxed HSe crystal.

Structure (extended XYZ):
```
4
Lattice="2.762 0.000 0.000 -0.018 4.741 0.000 -0.022 -2.346 5.914" Properties=species:S:1:pos:R:3 pbc="T T T"
H 0.202 0.316 0.029
H 2.520 2.079 5.886
Se 1.356 2.379 2.470
Se 1.365 0.016 3.445
```

Computed properties:
SG ... P-1 (2)
Crystal system ... triclinic
Magnetization ... 0.0000 μB per atom

---

*ii*
A plane-wave DFT calculation with PBE was carried out for a relaxed HSe crystal.

Structure (extended XYZ):
```
8
Lattice="6.282 0.000 0.000 0.000 6.282 0.000 0.000 0.000 3.143" Properties=species:S:1:pos:R:3 pbc="T T T"
H 0.921 0.921 0.000
H 2.220 4.061 1.572
H 4.061 2.220 1.572
H 5.361 5.361 0.000
Se 1.424 1.424 1.572
Se 1.717 4.565 0.000
Se 4.565 1.717 0.000
Se 4.857 4.857 1.572
```

Computed properties:
SG ... P4_2/mnm (136)
Crystal system ... tetragonal
Magnetization ... 0.0000 μB per atom

---

*iii*
A plane-wave DFT calculation with PBE was carried out for a relaxed HSe crystal.

Structure (extended XYZ):
```
16
Lattice="7.093 0.000 0.000 0.000 7.093 0.000 0.000 0.000 7.093" Properties=species:S:1:pos:R:3 pbc="T T T"
H 1.573 1.573 1.573
H 1.573 5.520 5.520
H 1.973 1.973 5.120
H 1.973 5.120 1.973
H 5.120 1.973 1.973
H 5.120 5.120 5.120
H 5.520 1.573 5.520
H 5.520 5.520 1.573
Se 1.103 1.103 5.990
Se 1.103 5.990 1.103
Se 2.444 2.444 2.444
Se 2.444 4.649 4.649
Se 4.649 2.444 4.649
Se 4.649 4.649 2.444
Se 5.990 1.103 1.103
Se 5.990 5.990 5.990
```

Computed properties:
SG ... I-43m (217)
Crystal system ... cubic
Magnetization ... 0.0381 μB per atom

---

Stability check: which of them is least stable? *ii*.

---

*i*
A plane-wave DFT calculation with PBE was carried out for a relaxed SiHSe2 crystal.

Structure (extended XYZ):
```
12
Lattice="3.765 0.000 0.000 -1.882 3.261 0.000 0.000 0.000 19.047" Properties=species:S:1:pos:R:3 pbc="T T T"
Si 0.000 0.000 0.000
Si 0.000 2.174 12.698
Si 1.882 1.087 6.349
H 0.000 0.000 9.524
H 0.000 2.174 3.175
H 1.882 1.087 15.873
Se 0.000 0.000 7.761
Se 0.000 0.000 11.287
Se 0.000 2.174 1.412
Se 0.000 2.174 4.938
Se 1.882 1.087 14.110
Se 1.882 1.087 17.636
```

Computed properties:
SG ... R-3m (166)
Crystal system ... trigonal
Magnetization ... 0.0000 μB per atom

---

*ii*
A plane-wave DFT calculation with PBE was carried out for a relaxed SiHSe2 crystal.

Structure (extended XYZ):
```
4
Lattice="2.728 0.000 0.000 0.001 4.007 0.000 1.187 1.563 7.196" Properties=species:S:1:pos:R:3 pbc="T T T"
Si 0.000 0.000 0.000
H 1.192 2.975 5.583
Se 1.189 4.368 4.907
Se 2.728 2.109 1.510
```

Computed properties:
SG ... P1 (1)
Crystal system ... triclinic
Magnetization ... 0.0000 μB per atom

---

*iii*
A plane-wave DFT calculation with PBE was carried out for a relaxed SiHSe2 crystal.

Structure (extended XYZ):
```
8
Lattice="11.029 0.000 0.000 0.000 3.412 0.000 -1.916 0.000 5.106" Properties=species:S:1:pos:R:3 pbc="T T T"
Si 0.000 0.000 0.000
Si 5.514 1.706 0.000
H 3.618 1.706 3.617
H 9.132 0.000 3.617
Se 1.509 1.706 0.809
Se 3.984 0.000 0.773
Se 7.023 0.000 0.809
Se 9.498 1.706 0.773
```

Computed properties:
SG ... Cm (8)
Crystal system ... monoclinic
Magnetization ... 0.0000 μB per atom

---

*iv*
A plane-wave DFT calculation with PBE was carried out for a relaxed SiHSe2 crystal.

Structure (extended XYZ):
```
16
Lattice="6.246 0.000 0.000 0.000 6.246 0.000 0.000 0.000 6.246" Properties=species:S:1:pos:R:3 pbc="T T T"
Si 0.000 0.000 0.000
Si 0.000 3.123 3.123
Si 3.123 0.000 3.123
Si 3.123 3.123 0.000
H 0.000 0.000 3.123
H 0.000 3.123 0.000
H 3.123 0.000 0.000
H 3.123 3.123 3.123
Se 1.562 1.562 1.562
Se 1.562 1.562 4.685
Se 1.562 4.685 1.562
Se 1.562 4.685 4.685
Se 4.685 1.562 1.562
Se 4.685 1.562 4.685
Se 4.685 4.685 1.562
Se 4.685 4.685 4.685
```

Computed properties:
SG ... Fm-3m (225)
Crystal system ... cubic
Magnetization ... 0.0000 μB per atom

---

Stability check: which of them is least stable? *iv*.

---

*i*
A plane-wave DFT calculation with PBE was carried out for a relaxed SiHSe2 crystal.

Structure (extended XYZ):
```
16
Lattice="5.923 0.000 0.000 0.000 5.923 0.000 0.000 0.000 8.249" Properties=species:S:1:pos:R:3 pbc="T T T"
Si 0.000 0.000 0.000
Si 0.000 2.961 2.062
Si 2.961 0.000 6.187
Si 2.961 2.961 4.125
H 0.000 0.000 4.125
H 0.000 2.961 6.187
H 2.961 0.000 2.062
H 2.961 2.961 0.000
Se 1.438 1.481 5.156
Se 1.481 4.400 7.218
Se 1.481 4.484 3.093
Se 1.523 1.481 1.031
Se 4.400 4.442 1.031
Se 4.442 1.438 3.093
Se 4.442 1.523 7.218
Se 4.484 4.442 5.156
```

Computed properties:
SG ... I-42d (122)
Crystal system ... tetragonal
Magnetization ... 0.0000 μB per atom

---

*ii*
A plane-wave DFT calculation with PBE was carried out for a relaxed SiHSe2 crystal.

Structure (extended XYZ):
```
12
Lattice="2.935 0.000 0.000 -1.467 2.542 0.000 0.000 0.000 24.697" Properties=species:S:1:pos:R:3 pbc="T T T"
Si 0.000 0.000 0.000
Si 0.000 1.695 16.464
Si 1.467 0.847 8.232
H 0.000 0.000 12.348
H 0.000 1.695 4.116
H 1.467 0.847 20.581
Se 0.000 0.000 2.572
Se 0.000 0.000 22.125
Se 0.000 1.695 13.893
Se 0.000 1.695 19.036
Se 1.467 0.847 5.660
Se 1.467 0.847 10.804
```

Computed properties:
SG ... R-3m (166)
Crystal system ... trigonal
Magnetization ... 0.0000 μB per atom

---

Stability check: which of them is least stable? *ii*.

---

*i*
A plane-wave DFT calculation with PBE was carried out for a relaxed Si2HSe crystal.

Structure (extended XYZ):
```
16
Lattice="6.196 0.000 0.000 0.000 6.196 0.000 0.000 0.000 6.196" Properties=species:S:1:pos:R:3 pbc="T T T"
Si 1.549 1.549 1.549
Si 1.549 1.549 4.647
Si 1.549 4.647 1.549
Si 1.549 4.647 4.647
Si 4.647 1.549 1.549
Si 4.647 1.549 4.647
Si 4.647 4.647 1.549
Si 4.647 4.647 4.647
H 0.000 0.000 0.000
H 0.000 3.098 3.098
H 3.098 0.000 3.098
H 3.098 3.098 0.000
Se 0.000 0.000 3.098
Se 0.000 3.098 0.000
Se 3.098 0.000 0.000
Se 3.098 3.098 3.098
```

Computed properties:
SG ... Fm-3m (225)
Crystal system ... cubic
Magnetization ... 0.0000 μB per atom

---

*ii*
A plane-wave DFT calculation with PBE was carried out for a relaxed Si2HSe crystal.

Structure (extended XYZ):
```
16
Lattice="4.491 0.000 0.000 0.000 4.491 0.000 0.000 0.000 13.256" Properties=species:S:1:pos:R:3 pbc="T T T"
Si 0.503 1.123 1.657
Si 1.123 2.748 4.971
Si 1.123 3.988 11.599
Si 1.742 1.123 8.285
Si 2.748 3.368 8.285
Si 3.368 0.503 11.599
Si 3.368 1.742 4.971
Si 3.988 3.368 1.657
H 0.000 0.000 0.000
H 0.000 2.245 3.314
H 2.245 0.000 9.942
H 2.245 2.245 6.628
Se 0.000 0.000 6.628
Se 0.000 2.245 9.942
Se 2.245 0.000 3.314
Se 2.245 2.245 0.000
```

Computed properties:
SG ... I-42d (122)
Crystal system ... tetragonal
Magnetization ... 0.0000 μB per atom

---

Stability check: which of them is least stable? *i*.

---

*i*
A plane-wave DFT calculation with PBE was carried out for a relaxed SnH3Se crystal.

Structure (extended XYZ):
```
5
Lattice="3.986 0.000 0.000 0.000 3.986 0.000 0.000 0.000 3.986" Properties=species:S:1:pos:R:3 pbc="T T T"
Sn 0.000 0.000 0.000
H 0.000 0.000 1.993
H 0.000 1.993 0.000
H 1.993 0.000 0.000
Se 1.993 1.993 1.993
```

Computed properties:
SG ... Pm-3m (221)
Crystal system ... cubic
Magnetization ... 0.2472 μB per atom

---

*ii*
A plane-wave DFT calculation with PBE was carried out for a relaxed SnH3Se crystal.

Structure (extended XYZ):
```
5
Lattice="3.920 0.000 0.000 0.000 3.920 0.000 0.000 0.000 3.920" Properties=species:S:1:pos:R:3 pbc="T T T"
Sn 0.000 0.000 0.000
H 0.000 1.960 1.960
H 1.960 0.000 1.960
H 1.960 1.960 0.000
Se 1.960 1.960 1.960
```

Computed properties:
SG ... Pm-3m (221)
Crystal system ... cubic
Magnetization ... 0.0000 μB per atom

---

Stability check: which of them is least stable? *ii*.

---

*i*
A plane-wave DFT calculation with PBE was carried out for a relaxed SnH2Se2 crystal.

Structure (extended XYZ):
```
10
Lattice="6.806 0.000 0.000 0.000 4.489 0.000 -2.374 0.000 7.079" Properties=species:S:1:pos:R:3 pbc="T T T"
Sn 0.000 0.000 0.000
Sn 3.403 2.245 0.000
H -0.474 2.245 1.823
H 1.504 0.000 5.256
H 2.929 0.000 1.823
H 4.907 2.245 5.256
Se 1.025 2.245 1.911
Se 0.004 0.000 5.168
Se 4.429 0.000 1.911
Se 3.407 2.245 5.168
```

Computed properties:
SG ... C2/m (12)
Crystal system ... monoclinic
Magnetization ... 0.0000 μB per atom

---

*ii*
A plane-wave DFT calculation with PBE was carried out for a relaxed SnH2Se2 crystal.

Structure (extended XYZ):
```
10
Lattice="3.675 -2.505 0.000 3.675 2.505 0.000 -2.511 0.000 13.905" Properties=species:S:1:pos:R:3 pbc="T T T"
Sn 1.792 1.642 10.429
Sn 3.047 -1.642 3.476
H -0.100 0.122 8.029
H 1.155 -0.122 1.077
H 3.684 0.122 12.828
H 4.940 -0.122 5.875
Se 2.045 1.384 5.090
Se 4.050 1.384 1.862
Se 0.789 -1.384 12.042
Se 2.795 -1.384 8.815
```

Computed properties:
SG ... C2/c (15)
Crystal system ... monoclinic
Magnetization ... 0.0000 μB per atom

---

*iii*
A plane-wave DFT calculation with PBE was carried out for a relaxed SnH2Se2 crystal.

Structure (extended XYZ):
```
10
Lattice="8.068 0.000 0.000 0.000 8.068 0.000 0.000 0.000 3.247" Properties=species:S:1:pos:R:3 pbc="T T T"
Sn 0.000 0.000 0.000
Sn 4.034 4.034 0.000
H 1.099 2.935 1.623
H 2.935 6.969 1.623
H 5.133 1.099 1.623
H 6.969 5.133 1.623
Se 1.552 2.481 0.000
Se 2.481 6.515 0.000
Se 5.586 1.552 0.000
Se 6.515 5.586 0.000
```

Computed properties:
SG ... P4/mbm (127)
Crystal system ... tetragonal
Magnetization ... 0.0000 μB per atom

---

Stability check: which of them is least stable? *iii*.

---

*i*
A plane-wave DFT calculation with PBE was carried out for a relaxed SrHSe3 crystal.

Structure (extended XYZ):
```
5
Lattice="4.644 0.000 0.000 0.000 4.644 0.000 0.000 0.000 4.644" Properties=species:S:1:pos:R:3 pbc="T T T"
Sr 0.000 0.000 0.000
H 2.322 2.322 2.322
Se 0.000 2.322 2.322
Se 2.322 0.000 2.322
Se 2.322 2.322 0.000
```

Computed properties:
SG ... Pm-3m (221)
Crystal system ... cubic
Magnetization ... 0.0000 μB per atom

---

*ii*
A plane-wave DFT calculation with PBE was carried out for a relaxed SrHSe3 crystal.

Structure (extended XYZ):
```
5
Lattice="6.091 0.000 0.000 0.000 6.091 0.000 0.000 0.000 6.091" Properties=species:S:1:pos:R:3 pbc="T T T"
Sr 0.000 0.000 0.000
H 3.046 3.046 3.046
Se 0.000 0.000 3.046
Se 0.000 3.046 0.000
Se 3.046 0.000 0.000
```

Computed properties:
SG ... Pm-3m (221)
Crystal system ... cubic
Magnetization ... 1.0000 μB per atom

---

Stability check: which of them is least stable? *ii*.

---

*i*
A plane-wave DFT calculation with PBE was carried out for a relaxed SrH2Se crystal.

Structure (extended XYZ):
```
16
Lattice="6.207 0.000 0.000 0.000 6.207 0.000 0.000 0.000 6.207" Properties=species:S:1:pos:R:3 pbc="T T T"
Sr 0.000 0.000 0.000
Sr 0.000 3.104 3.104
Sr 3.104 0.000 3.104
Sr 3.104 3.104 0.000
H 1.552 1.552 1.552
H 1.552 1.552 4.656
H 1.552 4.656 1.552
H 1.552 4.656 4.656
H 4.656 1.552 1.552
H 4.656 1.552 4.656
H 4.656 4.656 1.552
H 4.656 4.656 4.656
Se 0.000 0.000 3.104
Se 0.000 3.104 0.000
Se 3.104 0.000 0.000
Se 3.104 3.104 3.104
```

Computed properties:
SG ... Fm-3m (225)
Crystal system ... cubic
Magnetization ... 0.0000 μB per atom

---

*ii*
A plane-wave DFT calculation with PBE was carried out for a relaxed SrH2Se crystal.

Structure (extended XYZ):
```
16
Lattice="4.343 0.000 0.000 0.000 4.343 0.000 0.000 0.000 14.656" Properties=species:S:1:pos:R:3 pbc="T T T"
Sr 0.000 0.000 0.000
Sr 0.000 2.172 3.664
Sr 2.172 0.000 10.992
Sr 2.172 2.172 7.328
H 0.778 1.086 9.160
H 1.086 2.950 12.824
H 1.086 3.565 5.496
H 1.393 1.086 1.832
H 2.950 3.257 1.832
H 3.257 0.778 5.496
H 3.257 1.393 12.824
H 3.565 3.257 9.160
Se 0.000 0.000 7.328
Se 0.000 2.172 10.992
Se 2.172 0.000 3.664
Se 2.172 2.172 0.000
```

Computed properties:
SG ... I-42d (122)
Crystal system ... tetragonal
Magnetization ... 0.0000 μB per atom

---

Stability check: which of them is least stable? *ii*.

---

*i*
A plane-wave DFT calculation with PBE was carried out for a relaxed SrHSe2 crystal.

Structure (extended XYZ):
```
12
Lattice="4.907 0.000 0.000 -2.453 4.249 0.000 0.000 0.000 18.175" Properties=species:S:1:pos:R:3 pbc="T T T"
Sr 0.000 0.000 0.000
Sr 0.000 2.833 12.117
Sr 2.453 1.416 6.058
H 0.000 0.000 9.087
H 0.000 2.833 3.029
H 2.453 1.416 15.146
Se 0.000 0.000 7.375
Se 0.000 0.000 10.800
Se 0.000 2.833 1.317
Se 0.000 2.833 4.742
Se 2.453 1.416 13.433
Se 2.453 1.416 16.858
```

Computed properties:
SG ... R-3m (166)
Crystal system ... trigonal
Magnetization ... 0.2024 μB per atom

---

*ii*
A plane-wave DFT calculation with PBE was carried out for a relaxed SrHSe2 crystal.

Structure (extended XYZ):
```
12
Lattice="4.659 0.000 0.000 -2.329 4.035 0.000 0.000 0.000 14.576" Properties=species:S:1:pos:R:3 pbc="T T T"
Sr 0.000 0.000 0.000
Sr 0.000 2.690 9.717
Sr 2.329 1.345 4.859
H 0.000 0.000 7.288
H 0.000 2.690 2.429
H 2.329 1.345 12.147
Se 0.000 0.000 3.111
Se 0.000 0.000 11.465
Se 0.000 2.690 6.606
Se 0.000 2.690 12.828
Se 2.329 1.345 1.748
Se 2.329 1.345 7.970
```

Computed properties:
SG ... R-3m (166)
Crystal system ... trigonal
Magnetization ... 0.2090 μB per atom

---

Stability check: which of them is least stable? *ii*.

---

*i*
A plane-wave DFT calculation with PBE was carried out for a relaxed TaH2Se2 crystal.

Structure (extended XYZ):
```
10
Lattice="2.829 -4.890 0.000 2.829 4.890 0.000 -1.440 0.000 7.558" Properties=species:S:1:pos:R:3 pbc="T T T"
Ta 2.829 3.548 0.000
Ta 2.829 -3.548 0.000
H -0.002 0.000 1.334
H 1.407 0.000 0.002
H 2.810 0.000 7.556
H 4.219 0.000 6.224
Se 1.413 2.446 1.890
Se 2.805 2.446 5.667
Se 1.413 -2.446 1.890
Se 2.805 -2.446 5.667
```

Computed properties:
SG ... C2/m (12)
Crystal system ... monoclinic
Magnetization ... 0.0000 μB per atom

---

*ii*
A plane-wave DFT calculation with PBE was carried out for a relaxed TaH2Se2 crystal.

Structure (extended XYZ):
```
5
Lattice="3.677 0.000 0.000 -1.145 3.537 0.000 -0.414 -0.833 6.162" Properties=species:S:1:pos:R:3 pbc="T T T"
Ta 0.000 0.000 0.000
H -0.923 2.235 4.479
H 3.041 0.470 1.684
Se 0.568 2.265 1.441
Se 1.550 0.440 4.722
```

Computed properties:
SG ... P-1 (2)
Crystal system ... triclinic
Magnetization ... 0.0000 μB per atom

---

Stability check: which of them is least stable? *ii*.

---

*i*
A plane-wave DFT calculation with PBE was carried out for a relaxed Tc2HSe2 crystal.

Structure (extended XYZ):
```
10
Lattice="5.020 0.000 0.000 0.000 5.020 0.000 0.000 0.000 6.486" Properties=species:S:1:pos:R:3 pbc="T T T"
Tc 0.000 0.000 1.108
Tc 0.000 0.000 5.378
Tc 2.510 2.510 2.135
Tc 2.510 2.510 4.351
H 0.000 0.000 3.243
H 2.510 2.510 0.000
Se 0.000 2.510 1.621
Se 0.000 2.510 4.864
Se 2.510 0.000 1.621
Se 2.510 0.000 4.864
```

Computed properties:
SG ... I4/mmm (139)
Crystal system ... tetragonal
Magnetization ... 0.1713 μB per atom

---

*ii*
A plane-wave DFT calculation with PBE was carried out for a relaxed Tc2HSe2 crystal.

Structure (extended XYZ):
```
10
Lattice="7.032 0.000 0.000 0.000 7.032 0.000 0.000 0.000 3.087" Properties=species:S:1:pos:R:3 pbc="T T T"
Tc 1.048 2.468 0.000
Tc 2.468 5.984 0.000
Tc 4.564 1.048 0.000
Tc 5.984 4.564 0.000
H 0.000 0.000 0.000
H 3.516 3.516 0.000
Se 1.053 4.570 1.543
Se 2.463 1.053 1.543
Se 4.570 5.979 1.543
Se 5.979 2.463 1.543
```

Computed properties:
SG ... P4/mbm (127)
Crystal system ... tetragonal
Magnetization ... 0.0000 μB per atom

---

Stability check: which of them is least stable? *ii*.